# Fe10O11F9, relaxed, DFT PBE+U
data_Fe10O11F9
_chemical_formula_sum 'Fe10 O11 F9'
_symmetry_space_group_name_H-M 'P 1'
_symmetry_Int_Tables_number 1
_cell_length_a 4.6931
_cell_length_b 4.6946
_cell_length_c 15.3050
_cell_angle_alpha 89.45
_cell_angle_beta 89.66
_cell_angle_gamma 87.81
loop_
_symmetry_equiv_pos_as_xyz
'x,y,z'
loop_
_atom_site_label
_atom_site_type_symbol
_atom_site_fract_x
_atom_site_fract_y
_atom_site_fract_z
Fe1 Fe 0.0000 0.0000 0.0000
Fe2 Fe 0.0006 0.9980 0.2012
Fe3 Fe 0.0077 0.9945 0.7971
Fe4 Fe 0.4281 0.4895 0.0988
Fe5 Fe 0.4338 0.4936 0.9022
Fe6 Fe 0.4564 0.4675 0.4985
Fe7 Fe 0.4733 0.4702 0.7051
Fe8 Fe 0.4851 0.4281 0.2997
Fe9 Fe 0.9665 0.9694 0.6033
Fe10 Fe 0.9834 0.0061 0.4091
O1 O 0.1597 0.8051 0.0987
O2 O 0.1626 0.7776 0.5068
O3 O 0.1667 0.8126 0.9034
O4 O 0.1710 0.7763 0.6990
O5 O 0.2736 0.2926 0.0004
O6 O 0.2863 0.2838 0.4023
O7 O 0.2858 0.2879 0.2001
O8 O 0.2897 0.2972 0.8011
O9 O 0.7676 0.1686 0.5087
O10 O 0.7788 0.1702 0.7003
O11 O 0.7983 0.1564 0.3024
F1 F 0.1953 0.7760 0.3026
F2 F 0.2682 0.2744 0.5990
F3 F 0.6577 0.6597 0.6024
F4 F 0.6718 0.6919 0.0025
F5 F 0.6765 0.6754 0.2006
F6 F 0.6789 0.6674 0.4009
F7 F 0.6803 0.6944 0.8101
F8 F 0.7805 0.1940 0.0982
F9 F 0.7851 0.1988 0.9027
# Magnetization in μB per cell: 43.0
# Energy above the most stable polymorph in this dataset in eV/f.u.: 0.00
# E in eV/cell: -178.192